DFT (PBE) results for a geometry-optimized AcPm5Er4 structure.

Computed properties:
DOS(E_F)   1.46 states/eV/atom
Total magnetic moment   0.00 μB per formula unit
DFT formation energy   0.03 eV per atom
VASP energy   -45.79 eV for the cell shown
Volume   33.76 Å³ per atom
Crystal system   tetragonal

Cell lengths 3.6534, 3.6534, 25.2955 Å; angles 90.00, 90.00, 90.00 degrees
Sites, in units of the cell vectors:
Er1 0.0000 0.0000 0.4027
Pm1 0.5000 0.5000 0.8896
Pm2 0.5000 0.5000 0.5000
Pm3 0.5000 0.5000 0.3058
Pm4 0.5000 0.5000 0.1104
Er2 0.0000 0.0000 0.7917
Er3 0.0000 0.0000 0.2083
Ac1 0.0000 0.0000 0.0000
Er4 0.0000 0.0000 0.5973
Pm5 0.5000 0.5000 0.6942



DFT (PBE) results for a geometry-optimized AcPm3Er2 structure.

Computed properties:
DOS(E_F)   1.49 states/eV/atom
Total magnetic moment   0.00 μB per formula unit
DFT formation energy   0.08 eV per atom
VASP energy   -53.96 eV for the cell shown
Volume   34.55 Å³ per atom
Crystal system   monoclinic
Excess energy over the best structure of this formula in the dataset   0.0 meV/atom

Cell lengths 6.8341, 6.8341, 9.1128 Å; angles 81.80, 81.80, 94.71 degrees
Sites, in units of the cell vectors:
Er1 0.1255 0.6148 0.1233
Er2 0.3852 0.8745 0.3767
Pm1 0.4049 0.5951 0.7500
Er3 0.8745 0.3852 0.8767
Ac1 0.0642 0.9358 0.7500
Pm2 0.3646 0.1854 0.9829
Pm3 0.8146 0.6354 0.5171
Pm4 0.5951 0.4049 0.2500
Pm5 0.6354 0.8146 0.0171
Ac2 0.9358 0.0642 0.2500
Er4 0.6148 0.1255 0.6233
Pm6 0.1854 0.3646 0.4829



DFT (PBE) results for a geometry-optimized AcPm3Er6 structure.

Computed properties:
DOS(E_F)   1.61 states/eV/atom
Total magnetic moment   0.02 μB per formula unit
DFT formation energy   0.27 eV per atom
VASP energy   -43.01 eV for the cell shown
Volume   35.27 Å³ per atom
Crystal system   triclinic

Cell lengths 5.6248, 8.8482, 8.9863 Å; angles 122.06, 71.42, 90.93 degrees
Sites, in units of the cell vectors:
Pm1 0.0000 0.0000 0.0000
Pm2 0.2350 0.7335 0.5353
Er1 0.6112 0.7286 0.7754
Er2 0.8596 0.5502 0.2847
Er3 0.3888 0.2714 0.2246
Er4 0.6718 0.0270 0.6730
Ac1 0.5000 0.5000 0.0000
Er5 0.3282 0.9730 0.3270
Er6 0.1404 0.4498 0.7153
Pm3 0.7650 0.2665 0.4647



DFT (PBE) results for a geometry-optimized Ac7Pm2Er2 structure.

Computed properties:
DOS(E_F)   1.67 states/eV/atom
Total magnetic moment   0.00 μB per formula unit
DFT formation energy   0.25 eV per atom
VASP energy   -44.59 eV for the cell shown
Volume   42.49 Å³ per atom
Crystal system   monoclinic

Cell lengths 6.6935, 8.4885, 8.4885 Å; angles 77.08, 85.20, 85.20 degrees
Sites, in units of the cell vectors:
Pm1 0.2952 0.1996 0.1996
Ac1 0.7386 0.5509 0.5509
Ac2 0.0000 0.0000 0.0000
Ac3 0.2614 0.4491 0.4491
Er1 0.5000 0.8257 0.1743
Er2 0.5000 0.1743 0.8257
Ac4 0.2474 0.5637 0.9090
Pm2 0.7048 0.8004 0.8004
Ac5 0.7526 0.0910 0.4363
Ac6 0.2474 0.9090 0.5637
Ac7 0.7526 0.4363 0.0910



DFT (PBE) results for a geometry-optimized AcPm2Er6 structure.

Computed properties:
DOS(E_F)   1.63 states/eV/atom
Total magnetic moment   0.00 μB per formula unit
DFT formation energy   0.38 eV per atom
VASP energy   -37.56 eV for the cell shown
Volume   38.35 Å³ per atom
Crystal system   trigonal
Excess energy over the best structure of this formula in the dataset   191.3 meV/atom

Cell lengths 6.8595, 6.8595, 9.3502 Å; angles 68.48, 68.48, 60.00 degrees
Sites, in units of the cell vectors:
Er1 0.0488 0.0490 0.3480
Pm1 0.7507 0.7507 0.7479
Er2 0.2883 0.2880 0.6482
Pm2 0.5769 0.5769 0.2694
Er3 0.5542 0.0488 0.3480
Er4 0.0490 0.5542 0.3480
Ac1 0.3343 0.3343 0.9970
Er5 0.2880 0.7754 0.6482
Er6 0.7754 0.2883 0.6482



DFT (PBE) results for a geometry-optimized Ac3Pm5Er2 structure.

Computed properties:
DOS(E_F)   1.48 states/eV/atom
Total magnetic moment   0.00 μB per formula unit
DFT formation energy   0.34 eV per atom
VASP energy   -83.52 eV for the cell shown
Volume   39.46 Å³ per atom
Crystal system   orthorhombic

Cell lengths 11.2182, 9.9380, 10.3089 Å; angles 118.82, 122.96, 90.00 degrees
Sites, in units of the cell vectors:
Pm1 0.8792 0.4788 0.7583
Ac1 0.6241 0.3716 0.2483
Ac2 0.7500 0.0000 0.0000
Pm2 0.9941 0.7440 0.4881
Pm3 0.5059 0.2559 0.5119
Pm4 0.1208 0.5212 0.2417
Ac3 0.3759 0.6284 0.7517
Pm5 0.7500 0.5000 0.0000
Pm6 0.0059 0.2560 0.5119
Pm7 0.3792 0.2795 0.7583
Er1 0.8612 0.7683 0.7224
Pm8 0.4941 0.7441 0.4881
Ac4 0.8759 0.1234 0.7517
Pm9 0.6208 0.7205 0.2417
Er2 0.6388 0.0459 0.2776
Ac5 0.1241 0.8766 0.2483
Ac6 0.2500 0.0000 0.0000
Er3 0.3612 0.9541 0.7224
Pm10 0.2500 0.5000 0.0000
Er4 0.1388 0.2317 0.2776



The highest volume belongs to which entry?
Ac7Pm2Er2